(1)
VASP calculation (PBE+U) on crystalline Pm2VF8 at its relaxed geometry.

Cell: 3.558 5.733 8.171 Å, 92.83 102.58 90.00°
Last column: magnetic moment on the atom in μB.
Atoms (fractional coordinates):
F  0.760  0.677  0.520  0.00
F  0.368  0.063  0.737  0.00
F  0.396  0.546  0.793  0.00
F  0.632  0.937  0.263  0.00
F  0.984  0.216  0.968  0.00
F  0.240  0.323  0.480  0.00
F  0.604  0.454  0.207  0.00
F  0.016  0.784  0.032  0.00
Pm  0.844  0.340  0.689  0.00
Pm  0.156  0.660  0.311  0.00
V  0.500  0.000  0.000  2.77

Computed properties:
Size of the total moment: 3.0 Bohr magnetons per cell
Electronic total energy: -6.52 eV/atom
Space-group type: C2/m, No. 12
DOS at the Fermi energy: 0.0000 states/eV/atom

(2)
VASP calculation (PBE+U) on crystalline PmV2F8 at its relaxed geometry.

Cell: 4.292 7.466 6.320 Å, 126.20 87.82 89.98°
Last column: magnetic moment on the atom in μB.
Atoms (fractional coordinates):
F  0.242  0.588  0.176  0.00
F  0.265  0.187  0.375  0.00
F  0.253  0.664  0.795  0.00
F  0.746  0.869  0.204  0.00
F  0.735  0.813  0.625  0.00
F  0.758  0.412  0.824  0.00
F  0.254  0.131  0.796  0.00
F  0.747  0.336  0.205  0.00
V  0.262  0.381  0.763  2.35
V  0.738  0.619  0.237  2.35
Pm  0.000  0.000  0.000  0.01

Computed properties:
Excess energy over the best structure of this formula in the dataset: 0.000 eV per formula unit
Size of the total moment: 5.0 Bohr magnetons per cell
Electronic total energy: -6.31 eV/atom
Space-group type: C2/m, No. 12
DOS at the Fermi energy: 0.5982 states/eV/atom

(3)
VASP calculation (PBE+U) on crystalline PmV2F8 at its relaxed geometry.

Cell: 5.397 5.597 5.597 Å, 70.31 99.46 99.46°
Last column: magnetic moment on the atom in μB.
Atoms (fractional coordinates):
Pm  0.000  0.000  0.000  0.01
V  0.475  0.686  0.686  2.37
V  0.525  0.314  0.314  2.37
F  0.273  0.450  0.450  -0.02
F  0.714  0.635  0.040  0.00
F  0.727  0.550  0.550  -0.02
F  0.286  0.365  0.960  0.00
F  0.270  0.849  0.849  0.00
F  0.714  0.040  0.635  0.00
F  0.730  0.151  0.151  0.00
F  0.286  0.960  0.365  0.00

Computed properties:
Excess energy over the best structure of this formula in the dataset: 0.491 eV per formula unit
Size of the total moment: 5.0 Bohr magnetons per cell
Electronic total energy: -6.26 eV/atom
Space-group type: C2/m, No. 12
DOS at the Fermi energy: 0.1107 states/eV/atom

(4)
VASP calculation (PBE+U) on crystalline PmV2F11 at its relaxed geometry.

Cell: 8.719 8.093 8.093 Å, 65.18 57.41 57.41°
Last column: magnetic moment on the atom in μB.
Atoms (fractional coordinates):
F  0.073  0.147  0.596  0.01
F  0.596  0.185  0.073  0.01
F  0.815  0.404  0.853  0.01
F  0.427  0.904  0.353  0.01
F  0.315  0.353  0.904  0.01
F  0.096  0.573  0.685  0.01
F  0.927  0.853  0.404  0.01
F  0.147  0.073  0.185  0.01
F  0.853  0.927  0.815  0.01
F  0.904  0.427  0.315  0.01
F  0.698  0.302  0.698  -0.04
F  0.685  0.647  0.096  0.01
F  0.802  0.802  0.198  -0.04
F  0.404  0.815  0.927  0.01
F  0.500  0.500  0.500  -0.02
F  0.302  0.698  0.302  -0.04
F  0.185  0.596  0.147  0.01
F  0.573  0.096  0.647  0.01
F  0.198  0.198  0.802  -0.04
F  0.000  0.000  0.000  -0.02
F  0.647  0.685  0.573  0.01
F  0.353  0.315  0.427  0.01
Pm  0.750  0.750  0.750  0.00
Pm  0.250  0.250  0.250  0.00
V  0.838  0.162  0.838  1.00
V  0.338  0.338  0.662  1.00
V  0.662  0.662  0.338  1.00
V  0.162  0.838  0.162  1.00

Computed properties:
Size of the total moment: 4.0 Bohr magnetons per cell
Electronic total energy: -5.92 eV/atom
Space-group type: I4/mcm, No. 140
DOS at the Fermi energy: 0.0000 states/eV/atom

(5)
VASP calculation (PBE+U) on crystalline PmWF6 at its relaxed geometry.

Cell: 6.042 6.044 6.203 Å, 60.82 60.83 60.02°
Last column: magnetic moment on the atom in μB.
Atoms (fractional coordinates):
F  0.756  0.188  0.761  0.01
F  0.706  0.238  0.244  0.01
F  0.814  0.703  0.243  0.02
F  0.244  0.812  0.239  0.01
F  0.294  0.762  0.756  0.01
F  0.186  0.297  0.757  0.02
Pm  0.500  0.500  0.500  0.01
W  0.000  0.000  0.000  2.82

Computed properties:
Size of the total moment: 3.0 Bohr magnetons per cell
Electronic total energy: -6.23 eV/atom
Space-group type: P-1, No. 2
DOS at the Fermi energy: 0.0000 states/eV/atom